(1)
Material: AlPb2Au7
Method: DFT, PBE
State: optimized geometry

a = 3.9529 Å, b = 3.9529 Å, c = 13.7539 Å
α = 90.00°, β = 90.00°, γ = 90.00°
Fractional coordinates of all 10 atoms:
Al 0.0000 0.0000 0.0000
Pb 0.0000 0.5000 0.7497
Pb 0.5000 0.0000 0.2503
Au 0.0000 0.0000 0.5000
Au 0.0000 0.5000 0.1435
Au 0.0000 0.5000 0.3471
Au 0.5000 0.0000 0.6529
Au 0.5000 0.0000 0.8565
Au 0.5000 0.5000 0.0000
Au 0.5000 0.5000 0.5000

Results
E   -3.49 eV per atom
Formation enthalpy at 0 K   -85 meV per atom

=====

(2)
Material: Cs3H2F4
Method: DFT, PBE
State: optimized geometry

a = 9.4385 Å, b = 9.4385 Å, c = 7.2569 Å
α = 107.11°, β = 107.11°, γ = 96.22°
Fractional coordinates of all 18 atoms:
Cs 0.1549 0.3508 0.8959
Cs 0.2299 0.7701 0.7500
Cs 0.3508 0.1549 0.3959
Cs 0.6492 0.8451 0.6041
Cs 0.7701 0.2299 0.2500
Cs 0.8451 0.6492 0.1041
H 0.1351 0.4370 0.3996
H 0.4370 0.1351 0.8996
H 0.5630 0.8649 0.1004
H 0.8649 0.5630 0.6004
F 0.0492 0.4482 0.2558
F 0.2207 0.4276 0.5429
F 0.4276 0.2207 0.0429
F 0.4482 0.0492 0.7558
F 0.5518 0.9508 0.2442
F 0.5724 0.7793 0.9571
F 0.7793 0.5724 0.4571
F 0.9508 0.5518 0.7442

Results
E   -3.86 eV per atom

=====

(3)
Material: CePm2ErS4
Method: DFT, PBE
State: optimized geometry

a = 6.9036 Å, b = 3.9692 Å, c = 6.9376 Å
α = 90.00°, β = 109.23°, γ = 90.00°
Fractional coordinates of all 8 atoms:
Ce 0.0000 0.0000 0.0000
Pm 0.5000 0.0000 0.5000
Pm 0.5000 0.5000 0.0000
Er 0.0000 0.5000 0.5000
S 0.2386 0.0000 0.7395
S 0.2440 0.5000 0.2550
S 0.7560 0.5000 0.7450
S 0.7614 0.0000 0.2605

Results
Uncorrected formation energy   -16.2 eV per formula unit
E   -6.58 eV per atom

=====

(4)
Material: Na3Tl5Bi2
Method: DFT, PBE
State: optimized geometry

a = 9.9071 Å, b = 9.9071 Å, c = 6.4835 Å
α = 90.62°, β = 90.62°, γ = 105.72°
Fractional coordinates of all 20 atoms:
Na 0.0738 0.9262 0.7500
Na 0.2101 0.5291 0.3962
Na 0.4709 0.7899 0.1038
Na 0.5291 0.2101 0.8962
Na 0.7899 0.4709 0.6038
Na 0.9262 0.0738 0.2500
Tl 0.0138 0.7280 0.3219
Tl 0.2182 0.3013 0.0400
Tl 0.2720 0.9862 0.1781
Tl 0.3013 0.2182 0.5400
Tl 0.4613 0.5387 0.7500
Tl 0.5387 0.4613 0.2500
Tl 0.6987 0.7818 0.4600
Tl 0.7280 0.0138 0.8219
Tl 0.7818 0.6987 0.9600
Tl 0.9862 0.2720 0.6781
Bi 0.1401 0.6085 0.8844
Bi 0.3915 0.8599 0.6156
Bi 0.6085 0.1401 0.3844
Bi 0.8599 0.3915 0.1156

Results
E   -2.47 eV per atom
Formation enthalpy at 0 K   -111 meV per atom

=====

(5)
Material: YZrH3
Method: DFT, PBE
State: optimized geometry

a = 3.9703 Å, b = 3.9703 Å, c = 3.9703 Å
α = 90.00°, β = 90.00°, γ = 90.00°
Fractional coordinates of all 5 atoms:
Y 0.0000 0.0000 0.0000
Zr 0.5000 0.5000 0.5000
H 0.0000 0.0000 0.5000
H 0.0000 0.5000 0.0000
H 0.5000 0.0000 0.0000

Results
E   -4.98 eV per atom

=====

(6)
Material: Ce2TmGe3Pt4
Method: DFT, PBE
State: optimized geometry

a = 4.2574 Å, b = 4.2574 Å, c = 11.2564 Å
α = 90.00°, β = 90.00°, γ = 90.00°
Fractional coordinates of all 10 atoms:
Ce 0.0000 0.5000 0.2265
Ce 0.5000 0.0000 0.7735
Tm 0.0000 0.0000 0.5000
Ge 0.0000 0.5000 0.8750
Ge 0.5000 0.0000 0.1250
Ge 0.5000 0.5000 0.5000
Pt 0.0000 0.0000 0.0000
Pt 0.0000 0.5000 0.6555
Pt 0.5000 0.0000 0.3445
Pt 0.5000 0.5000 0.0000

Results
E   -6.38 eV per atom
Formation enthalpy at 0 K   -944 meV per atom